Material: TmNpBr6
Method: DFT, PBE-GGA
State: optimized geometry

theoretical density	4.7	g/cm³
total DFT energy (no corrections)	-79.84	eV for the cell shown
size of the total moment	4.00	μB/f.u.
formation energy (no corrections)	-12.47	eV per formula unit

a = 7.072 Å, b = 13.180 Å, c = 7.008 Å
α = 90.00°, β = 106.99°, γ = 90.00°
Space group C2/m (No. 12)
Inequivalent atoms, fractional coordinates:
1 Tm 0.000 0.000 0.000 (multiplicity 2)
2 Np 0.000 0.500 0.500 (multiplicity 2)
3 Br 0.237 0.146 0.242 (multiplicity 8)
4 Br 0.247 0.000 0.756 (multiplicity 4)